Material: TcMoRu2F
Method: DFT, PBE+U
State: relaxed

Cell: 4.7668 3.8766 4.7668 Å, 90.00 90.00 90.00°
With the nearest neighbours (Å) after each atom.
Fractional positions:
Tc: 0.5000 0.5000 0.5000  8 Ru 3.07, 4 F 3.37
Mo: 0.0000 0.0000 0.0000  2 F 1.94
Ru: 0.5000 0.0000 0.0000  2 Mo 2.38
Ru: 0.0000 0.0000 0.5000  2 Mo 2.38
F: 0.0000 0.5000 0.0000  2 Mo 1.94

Results
Energy = -32.0 eV for the cell shown
Crystal system = tetragonal
SG = P4/mmm